A:
A relaxed structure of MnSnAu3. Source: Alexandria via LeMat-Bulk, functional PBE.

Total moment (μB/cell): 0.0
Symmetry: Pm-3m, No. 221

Unit cell a=5.0947 b=5.0947 c=5.0947 alpha=90.00 beta=90.00 gamma=90.00
Element x y z (fractional)
Mn 0.0000 0.0000 0.0000
Sn 0.5000 0.5000 0.5000
Au 0.0000 0.0000 0.5000
Au 0.0000 0.5000 0.0000
Au 0.5000 0.0000 0.0000

***

B:
A relaxed structure of MnSnAu3. Source: Alexandria via LeMat-Bulk, functional PBE.

Total moment (μB/cell): 5.2
Symmetry: Pm-3m, No. 221

Unit cell a=5.1725 b=5.1725 c=5.1725 alpha=90.00 beta=90.00 gamma=90.00
Element x y z (fractional)
Mn 0.0000 0.0000 0.0000
Sn 0.5000 0.5000 0.5000
Au 0.0000 0.5000 0.5000
Au 0.5000 0.0000 0.5000
Au 0.5000 0.5000 0.0000

***

The structure shown above that is most stable: B.